Model a:
! KLiSb3, relaxed, DFT PBE; values from VASP
! - Theoretical density: 3.3 g/cm³
! - N(E_F): 1.58 states/eV per atom
&SYSTEM
  ibrav = 0, nat = 5, ntyp = 3
/
ATOMIC_SPECIES
K 39.10 K.upf
Li 6.94 Li.upf
Sb 121.76 Sb.upf
ATOMIC_POSITIONS angstrom
K 0.000 0.000 0.000
Li 2.957 2.957 2.957
Sb 0.000 0.000 2.957
Sb 0.000 2.957 0.000
Sb 2.957 0.000 0.000
CELL_PARAMETERS angstrom
5.914 0.000 0.000
0.000 5.914 0.000
0.000 0.000 5.914

Model b:
! KLiSb3, relaxed, DFT PBE; values from VASP
! - Theoretical density: 4.7 g/cm³
! - N(E_F): 0.58 states/eV per atom
&SYSTEM
  ibrav = 0, nat = 5, ntyp = 3
/
ATOMIC_SPECIES
K 39.10 K.upf
Li 6.94 Li.upf
Sb 121.76 Sb.upf
ATOMIC_POSITIONS angstrom
K 0.000 0.000 0.000
Li 2.620 2.620 2.620
Sb 0.000 2.620 2.620
Sb 2.620 0.000 2.620
Sb 2.620 2.620 0.000
CELL_PARAMETERS angstrom
5.239 0.000 0.000
0.000 5.239 0.000
0.000 0.000 5.239

Relative energy table, unit kJ/mol of atoms: model a 93.6; model b 0.0

Model a:
! KLiSbTe2, relaxed, DFT PBE; values from VASP
! - Theoretical density: 4.7 g/cm³
! - N(E_F): 0.85 states/eV per atom
&SYSTEM
  ibrav = 0, nat = 5, ntyp = 4
/
ATOMIC_SPECIES
K 39.10 K.upf
Li 6.94 Li.upf
Sb 121.76 Sb.upf
Te 127.60 Te.upf
ATOMIC_POSITIONS angstrom
K 0.000 0.000 0.000
Li 2.733 2.733 2.524
Sb 2.733 2.733 0.000
Te 0.000 2.733 2.524
Te 2.733 0.000 2.524
CELL_PARAMETERS angstrom
5.467 0.000 0.000
0.000 5.467 0.000
0.000 0.000 5.049

Model b:
! KLiSbTe2, relaxed, DFT PBE; values from VASP
! - Theoretical density: 3.2 g/cm³
! - N(E_F): 1.48 states/eV per atom
&SYSTEM
  ibrav = 0, nat = 5, ntyp = 4
/
ATOMIC_SPECIES
K 39.10 K.upf
Li 6.94 Li.upf
Sb 121.76 Sb.upf
Te 127.60 Te.upf
ATOMIC_POSITIONS angstrom
K 0.000 0.000 0.000
Li 3.057 3.057 2.950
Sb 0.000 0.000 2.950
Te 0.000 3.057 0.000
Te 3.057 0.000 0.000
CELL_PARAMETERS angstrom
6.115 0.000 0.000
0.000 6.115 0.000
0.000 0.000 5.900

Relative energy table, unit kJ/mol of atoms: model a 0.0; model b 80.8